Compound: PrHoSn2
Source: the Alexandria database
Functional: PBE
Structure: relaxed

a = 3.5125 Å, b = 3.5125 Å, c = 8.9739 Å
α = 90.00°, β = 90.00°, γ = 90.00°
With the nearest neighbours (Å) after each atom.
Space group P4/mmm (No. 123)
One atom of each set of equivalent atoms:
Pr 0.0000 0.0000 0.0000  8 Sn 3.41, 4 Pr 3.51
Ho 0.0000 0.0000 0.5000  8 Sn 3.28, 4 Ho 3.51
Sn 0.5000 0.5000 0.2606  4 Ho 3.28, 4 Pr 3.41, 4 Sn 3.51

**Total moment**: 0.0 μB per formula unit
**ΔE_f**: -643 meV per atom